## HfTl2 (PBE)

Data for a relaxed structure of HfTl2.

The space group is Fd-3m (No. 227, origin choice 2) and the conventional cell measures 13.1019, 13.1019 and 13.1019 Å, with angles of 90.00, 90.00 and 90.00 degrees. The distinct sites, in fractional coordinates, are Hf at (0.1250, 0.1250, 0.1250) and Tl at (0.0000, 0.0000, 0.0000).

The final energy comes out at -3.354 eV per atom.